(one)
An optimized crystal structure of CeZr2Pt. Source: Alexandria via LeMat-Bulk, functional PBE-GGA.

Total magnetization (μB/atom): 0.000
Theoretical density (Mg/m³): 8.787

```
data_CeZr2Pt
_chemical_formula_sum 'Ce1 Zr2 Pt1'
_cell_length_a 5.6475
_cell_length_b 5.6475
_cell_length_c 5.6475
_cell_angle_alpha 50.18
_cell_angle_beta 50.18
_cell_angle_gamma 50.18
_space_group_name_H-M_alt 'P 1'
_space_group_IT_number 1
loop_
_space_group_symop_operation_xyz
'x,y,z'
loop_
_atom_site_label
_atom_site_fract_x
_atom_site_fract_y
_atom_site_fract_z
Ce1 0.0000 0.0000 0.0000
Zr1 0.5691 0.5691 0.5691
Zr2 0.7931 0.7931 0.7931
Pt1 0.1888 0.1888 0.1888
```

---

(two)
An optimized crystal structure of CeZr2Pt. Source: Alexandria via LeMat-Bulk, functional PBE-GGA.

Total magnetization (μB/atom): 0.009
Theoretical density (Mg/m³): 9.763

```
data_CeZr2Pt
_chemical_formula_sum 'Ce1 Zr2 Pt1'
_cell_length_a 3.4091
_cell_length_b 3.4091
_cell_length_c 7.5757
_cell_angle_alpha 90.00
_cell_angle_beta 90.00
_cell_angle_gamma 90.00
_space_group_name_H-M_alt 'P 1'
_space_group_IT_number 1
loop_
_space_group_symop_operation_xyz
'x,y,z'
loop_
_atom_site_label
_atom_site_fract_x
_atom_site_fract_y
_atom_site_fract_z
Ce1 0.0000 0.0000 0.0000
Zr1 0.5000 0.5000 0.2866
Zr2 0.5000 0.5000 0.7134
Pt1 0.0000 0.0000 0.5000
```

---

Which one sits at the top of the stability order? (two) does.

---

(one)
An optimized crystal structure of Ce2ZrPt. Source: Alexandria via LeMat-Bulk, functional PBE-GGA.

Total magnetization (μB/atom): 0.214
Theoretical density (Mg/m³): 9.551

```
data_Ce2ZrPt
_chemical_formula_sum 'Ce2 Zr1 Pt1'
_cell_length_a 3.6659
_cell_length_b 3.6659
_cell_length_c 7.3294
_cell_angle_alpha 90.00
_cell_angle_beta 90.00
_cell_angle_gamma 90.00
_space_group_name_H-M_alt 'P 1'
_space_group_IT_number 1
loop_
_space_group_symop_operation_xyz
'x,y,z'
loop_
_atom_site_label
_atom_site_fract_x
_atom_site_fract_y
_atom_site_fract_z
Ce1 0.0000 0.0000 0.2135
Ce2 0.0000 0.0000 0.7865
Zr1 0.5000 0.5000 0.5000
Pt1 0.5000 0.5000 0.0000
```

---

(two)
An optimized crystal structure of Ce2ZrPt. Source: Alexandria via LeMat-Bulk, functional PBE-GGA.

Total magnetization (μB/atom): 0.000
Theoretical density (Mg/m³): 10.497

```
data_Ce2ZrPt
_chemical_formula_sum 'Ce2 Zr1 Pt1'
_cell_length_a 11.2573
_cell_length_b 11.2573
_cell_length_c 11.2573
_cell_angle_alpha 15.58
_cell_angle_beta 15.58
_cell_angle_gamma 15.58
_space_group_name_H-M_alt 'P 1'
_space_group_IT_number 1
loop_
_space_group_symop_operation_xyz
'x,y,z'
loop_
_atom_site_label
_atom_site_fract_x
_atom_site_fract_y
_atom_site_fract_z
Ce1 0.0914 0.0914 0.0914
Ce2 0.9086 0.9086 0.9086
Zr1 0.0000 0.0000 0.0000
Pt1 0.5000 0.5000 0.5000
```

---

Which one sits at the top of the stability order? (one) does.

---

(one)
An optimized crystal structure of CePu3. Source: Alexandria via LeMat-Bulk, functional PBE-GGA.

Total magnetization (μB/atom): 4.386
Theoretical density (Mg/m³): 13.699

```
data_CePu3
_chemical_formula_sum 'Ce2 Pu6'
_cell_length_a 6.8694
_cell_length_b 6.8694
_cell_length_c 5.1739
_cell_angle_alpha 90.00
_cell_angle_beta 90.00
_cell_angle_gamma 120.00
_space_group_name_H-M_alt 'P 1'
_space_group_IT_number 1
loop_
_space_group_symop_operation_xyz
'x,y,z'
loop_
_atom_site_label
_atom_site_fract_x
_atom_site_fract_y
_atom_site_fract_z
Ce1 0.3333 0.6667 0.2500
Ce2 0.6667 0.3333 0.7500
Pu1 0.1648 0.3296 0.7500
Pu2 0.1648 0.8352 0.7500
Pu3 0.3296 0.1648 0.2500
Pu4 0.6704 0.8352 0.7500
Pu5 0.8352 0.1648 0.2500
Pu6 0.8352 0.6704 0.2500
```

---

(two)
An optimized crystal structure of CePu3. Source: Alexandria via LeMat-Bulk, functional PBE-GGA.

Total magnetization (μB/atom): 1.240
Theoretical density (Mg/m³): 14.994

```
data_CePu3
_chemical_formula_sum 'Ce1 Pu3'
_cell_length_a 5.6105
_cell_length_b 5.6105
_cell_length_c 5.6105
_cell_angle_alpha 131.65
_cell_angle_beta 131.65
_cell_angle_gamma 70.78
_space_group_name_H-M_alt 'P 1'
_space_group_IT_number 1
loop_
_space_group_symop_operation_xyz
'x,y,z'
loop_
_atom_site_label
_atom_site_fract_x
_atom_site_fract_y
_atom_site_fract_z
Ce1 0.0000 0.0000 0.0000
Pu1 0.2500 0.7500 0.5000
Pu2 0.5000 0.5000 0.0000
Pu3 0.7500 0.2500 0.5000
```

---

(three)
An optimized crystal structure of CePu3. Source: Alexandria via LeMat-Bulk, functional PBE-GGA.

Total magnetization (μB/atom): 4.874
Theoretical density (Mg/m³): 13.282

```
data_CePu3
_chemical_formula_sum 'Ce1 Pu3'
_cell_length_a 5.3624
_cell_length_b 5.3624
_cell_length_c 5.3624
_cell_angle_alpha 60.00
_cell_angle_beta 60.00
_cell_angle_gamma 60.00
_space_group_name_H-M_alt 'P 1'
_space_group_IT_number 1
loop_
_space_group_symop_operation_xyz
'x,y,z'
loop_
_atom_site_label
_atom_site_fract_x
_atom_site_fract_y
_atom_site_fract_z
Ce1 0.0000 0.0000 0.0000
Pu1 0.2500 0.2500 0.2500
Pu2 0.5000 0.5000 0.5000
Pu3 0.7500 0.7500 0.7500
```

---

(four)
An optimized crystal structure of CePu3. Source: Alexandria via LeMat-Bulk, functional PBE-GGA.

Total magnetization (μB/atom): 1.327
Theoretical density (Mg/m³): 14.774

```
data_CePu3
_chemical_formula_sum 'Ce1 Pu3'
_cell_length_a 6.4678
_cell_length_b 6.4678
_cell_length_c 6.4678
_cell_angle_alpha 150.50
_cell_angle_beta 132.20
_cell_angle_gamma 57.17
_space_group_name_H-M_alt 'P 1'
_space_group_IT_number 1
loop_
_space_group_symop_operation_xyz
'x,y,z'
loop_
_atom_site_label
_atom_site_fract_x
_atom_site_fract_y
_atom_site_fract_z
Ce1 0.0000 0.0000 0.0000
Pu1 0.2795 0.7795 0.5000
Pu2 0.5000 0.5000 0.0000
Pu3 0.7205 0.2205 0.5000
```

---

Which one sits at the top of the stability order? (two) does.

---

(one)
An optimized crystal structure of Ce4Pu. Source: Alexandria via LeMat-Bulk, functional PBE-GGA.

Total magnetization (μB/atom): 0.000
Theoretical density (Mg/m³): 9.749

```
data_Ce4Pu
_chemical_formula_sum 'Ce8 Pu2'
_cell_length_a 7.1712
_cell_length_b 7.1015
_cell_length_c 8.6893
_cell_angle_alpha 52.86
_cell_angle_beta 52.13
_cell_angle_gamma 75.00
_space_group_name_H-M_alt 'P 1'
_space_group_IT_number 1
loop_
_space_group_symop_operation_xyz
'x,y,z'
loop_
_atom_site_label
_atom_site_fract_x
_atom_site_fract_y
_atom_site_fract_z
Ce1 0.2369 0.8218 0.0057
Ce2 0.2443 0.3143 0.0131
Ce3 0.2928 0.7072 0.4597
Ce4 0.3143 0.2443 0.4282
Ce5 0.7072 0.2928 0.5403
Ce6 0.7097 0.7903 0.5428
Ce7 0.7903 0.7097 0.9572
Ce8 0.8218 0.2369 0.9357
Pu1 0.2854 0.2854 0.7146
Pu2 0.5354 0.5354 0.9646
```

---

(two)
An optimized crystal structure of Ce4Pu. Source: Alexandria via LeMat-Bulk, functional PBE-GGA.

Total magnetization (μB/atom): 1.059
Theoretical density (Mg/m³): 9.315

```
data_Ce4Pu
_chemical_formula_sum 'Ce4 Pu1'
_cell_length_a 5.2343
_cell_length_b 5.2343
_cell_length_c 5.2343
_cell_angle_alpha 90.00
_cell_angle_beta 90.00
_cell_angle_gamma 90.00
_space_group_name_H-M_alt 'P 1'
_space_group_IT_number 1
loop_
_space_group_symop_operation_xyz
'x,y,z'
loop_
_atom_site_label
_atom_site_fract_x
_atom_site_fract_y
_atom_site_fract_z
Ce1 0.0000 0.0000 0.0000
Ce2 0.0000 0.5000 0.5000
Ce3 0.5000 0.0000 0.5000
Ce4 0.5000 0.5000 0.0000
Pu1 0.5000 0.5000 0.5000
```

---

Which one sits at the top of the stability order? (one) does.

---

(one)
An optimized crystal structure of CePu4. Source: Alexandria via LeMat-Bulk, functional PBE-GGA.

Total magnetization (μB/atom): 2.388
Theoretical density (Mg/m³): 12.280

```
data_CePu4
_chemical_formula_sum 'Ce1 Pu4'
_cell_length_a 5.3242
_cell_length_b 5.3242
_cell_length_c 5.3242
_cell_angle_alpha 90.00
_cell_angle_beta 90.00
_cell_angle_gamma 90.00
_space_group_name_H-M_alt 'P 1'
_space_group_IT_number 1
loop_
_space_group_symop_operation_xyz
'x,y,z'
loop_
_atom_site_label
_atom_site_fract_x
_atom_site_fract_y
_atom_site_fract_z
Ce1 0.0000 0.0000 0.0000
Pu1 0.0000 0.0000 0.5000
Pu2 0.0000 0.5000 0.0000
Pu3 0.5000 0.0000 0.0000
Pu4 0.5000 0.5000 0.5000
```

---

(two)
An optimized crystal structure of CePu4. Source: Alexandria via LeMat-Bulk, functional PBE-GGA.

Total magnetization (μB/atom): 2.448
Theoretical density (Mg/m³): 15.438

```
data_CePu4
_chemical_formula_sum 'Ce1 Pu4'
_cell_length_a 10.0691
_cell_length_b 10.0691
_cell_length_c 10.0691
_cell_angle_alpha 21.49
_cell_angle_beta 21.49
_cell_angle_gamma 21.49
_space_group_name_H-M_alt 'P 1'
_space_group_IT_number 1
loop_
_space_group_symop_operation_xyz
'x,y,z'
loop_
_atom_site_label
_atom_site_fract_x
_atom_site_fract_y
_atom_site_fract_z
Ce1 0.0000 0.0000 0.0000
Pu1 0.1812 0.1812 0.1812
Pu2 0.4162 0.4162 0.4162
Pu3 0.5838 0.5838 0.5838
Pu4 0.8188 0.8188 0.8188
```

---

Which one sits at the top of the stability order? (two) does.

---

(one)
An optimized crystal structure of CePu2. Source: Alexandria via LeMat-Bulk, functional PBE-GGA.

Total magnetization (μB/atom): 0.000
Theoretical density (Mg/m³): 16.276

```
data_CePu2
_chemical_formula_sum 'Ce1 Pu2'
_cell_length_a 6.5281
_cell_length_b 6.5281
_cell_length_c 6.5281
_cell_angle_alpha 151.28
_cell_angle_beta 151.28
_cell_angle_gamma 41.06
_space_group_name_H-M_alt 'P 1'
_space_group_IT_number 1
loop_
_space_group_symop_operation_xyz
'x,y,z'
loop_
_atom_site_label
_atom_site_fract_x
_atom_site_fract_y
_atom_site_fract_z
Ce1 0.0000 0.0000 0.0000
Pu1 0.2884 0.2884 0.0000
Pu2 0.7116 0.7116 0.0000
```

---

(two)
An optimized crystal structure of CePu2. Source: Alexandria via LeMat-Bulk, functional PBE-GGA.

Total magnetization (μB/atom): 3.557
Theoretical density (Mg/m³): 13.305

```
data_CePu2
_chemical_formula_sum 'Ce2 Pu4'
_cell_length_a 6.0525
_cell_length_b 6.0525
_cell_length_c 6.0525
_cell_angle_alpha 60.00
_cell_angle_beta 60.00
_cell_angle_gamma 60.00
_space_group_name_H-M_alt 'P 1'
_space_group_IT_number 1
loop_
_space_group_symop_operation_xyz
'x,y,z'
loop_
_atom_site_label
_atom_site_fract_x
_atom_site_fract_y
_atom_site_fract_z
Ce1 0.1250 0.1250 0.1250
Ce2 0.8750 0.8750 0.8750
Pu1 0.0000 0.5000 0.5000
Pu2 0.5000 0.0000 0.5000
Pu3 0.5000 0.5000 0.0000
Pu4 0.5000 0.5000 0.5000
```

---

Which one sits at the top of the stability order? (two) does.